Here is a geometry-optimized LaSbAs2 structure from Alexandria. Energies are from GGA-PBE.

Unit cell a=4.8898 b=4.8898 c=4.0452 alpha=90.00 beta=90.00 gamma=90.00
With the nearest neighbours (Å) after each atom.
Fractional coordinates of all 4 atoms:
La 0.0000 0.0000 0.0000  8 As 3.17, 4 Sb 3.46
Sb 0.5000 0.5000 0.0000  8 As 3.17, 4 La 3.46
As 0.0000 0.5000 0.5000  4 Sb 3.17, 4 La 3.17, 4 As 3.46
As 0.5000 0.0000 0.5000  4 Sb 3.17, 4 La 3.17, 4 As 3.46

Values from the calculation:
For the magnetic moment, the calculation gives 0.00 μB/cell. The uncorrected formation energy is -0.659 eV per atom.